LaScAs2 after structural relaxation, computed with PBE-GGA.

a b c (Å): 5.0600 5.0600 5.0600
angles (deg): 60.00 60.00 60.00
Closest atoms and distances in Å follow each position.
Sites, in units of the cell vectors:
La1 0.0000 0.0000 0.0000  8 As 3.10
Sc1 0.5000 0.5000 0.5000  8 As 3.10
As1 0.2500 0.2500 0.2500  4 La 3.10, 4 Sc 3.10
As2 0.7500 0.7500 0.7500  4 Sc 3.10, 4 La 3.10

Energy relative to the elements (eV per atom): -1.0159
V (Å³/atom): 22.90
Distance to the lowest polymorph of the same formula (meV/atom): 414

---

LiMn4Te after structural relaxation, computed with PBE-GGA.

a b c (Å): 4.8557 4.8557 4.8557
angles (deg): 60.00 60.00 60.00
Closest atoms and distances in Å follow each position.
Sites, in units of the cell vectors:
Li1 0.0000 0.0000 0.0000  12 Mn 2.84, 4 Te 2.97
Mn1 0.1217 0.6261 0.6261  6 Mn 2.41-2.45
Mn2 0.6261 0.1217 0.6261  6 Mn 2.41-2.45
Mn3 0.6261 0.6261 0.1217  6 Mn 2.41-2.45
Mn4 0.6261 0.6261 0.6261  6 Mn 2.41-2.45
Te1 0.2500 0.2500 0.2500  12 Mn 2.85, 4 Li 2.97

Formation energy without anion corrections (eV per formula unit): 2.3
V (Å³/atom): 13.49

---

BaCa2Hg2Pb2 after structural relaxation, computed with PBE-GGA.

a b c (Å): 10.1376 10.1376 10.1376
angles (deg): 29.67 29.67 29.67
Closest atoms and distances in Å follow each position.
Sites, in units of the cell vectors:
Ba1 0.0000 0.0000 0.0000  6 Pb 3.72, 2 Ca 3.98
Ca1 0.1371 0.1371 0.1371  3 Hg 3.08
Ca2 0.8629 0.8629 0.8629  3 Hg 3.08
Hg1 0.4455 0.4455 0.4455  3 Ca 3.08, 1 Hg 3.17, 3 Pb 3.18
Hg2 0.5545 0.5545 0.5545  3 Ca 3.08, 1 Hg 3.17, 3 Pb 3.18
Pb1 0.2575 0.2575 0.2575  3 Hg 3.18, 4 Ca 3.49-3.50
Pb2 0.7425 0.7425 0.7425  3 Hg 3.18, 4 Ca 3.49-3.50

Energy relative to the elements (eV per atom): -0.4708
V (Å³/atom): 32.28

---

- V of number 2 (LiMn4Te)?
  13.49 Å³/atom

---

- Which of these has the lowest V?
  LiMn4Te